BBr2O, single point on PBEsol structure, DFT SCAN; formation energy without anion corrections = 1713 meV per atom; uncorrected energy = -11.431 eV/atom
1.0
4.3293 0.0000 0.0000
2.1646 3.7493 0.0000
2.1646 1.2498 3.5348
Br B O
2 1 1
direct
0.2500 0.2500 0.2500
0.7500 0.7500 0.7500
0.0000 0.0000 0.0000
0.5000 0.5000 0.5000